{"formula": "MgIn2Ir", "functional": "PBE", "state": "relaxed", "lattice": [[2.911, -4.140, 0.000], [2.911, 4.140, 0.000], [0.000, 0.000, 3.158]], "species": ["Mg", "In", "In", "Ir"], "fractional_positions": [[0.000, 0.000, 0.000], [0.000, 0.500, 0.500], [0.500, 0.000, 0.500], [0.500, 0.500, 0.000]], "sg": "Cmmm, No. 65", "ef_ev_per_atom": 0.04, "crystal_system": "orthorhombic"}

{"formula": "SrTeSeN2", "functional": "PBE", "state": "relaxed", "lattice": [[4.767, 0.000, 0.000], [0.000, 4.767, 0.000], [0.000, 0.000, 6.313]], "species": ["Sr", "Te", "Se", "N", "N"], "fractional_positions": [[0.000, 0.000, 0.000], [0.500, 0.500, 0.500], [0.000, 0.000, 0.500], [0.000, 0.500, 0.000], [0.500, 0.000, 0.000]], "sg": "P4/mmm, No. 123", "e_form_raw_ev_per_atom": 1.336, "de_polymorph_ev_per_atom": 0.927, "crystal_system": "tetragonal"}

{"formula": "LaBiAsC2", "functional": "PBE", "state": "relaxed", "lattice": [[4.471, 0.000, 0.000], [0.000, 4.471, 0.000], [0.000, 0.000, 5.990]], "species": ["La", "Bi", "As", "C", "C"], "fractional_positions": [[0.000, 0.000, 0.000], [0.500, 0.500, 0.500], [0.000, 0.000, 0.500], [0.000, 0.500, 0.000], [0.500, 0.000, 0.000]], "sg": "P4/mmm, No. 123", "ef_ev_per_atom": 1.82, "crystal_system": "tetragonal"}

{"formula": "KMnSe3", "functional": "PBE", "state": "relaxed", "lattice": [[4.867, 0.000, 0.000], [0.000, 4.867, 0.000], [0.000, 0.000, 4.867]], "species": ["K", "Mn", "Se", "Se", "Se"], "fractional_positions": [[0.000, 0.000, 0.000], [0.500, 0.500, 0.500], [0.000, 0.500, 0.500], [0.500, 0.000, 0.500], [0.500, 0.500, 0.000]], "sg": "Pm-3m, No. 221", "e_form_raw_ev_per_atom": -0.165, "de_polymorph_ev_per_atom": 0.000, "crystal_system": "cubic"}

{"formula": "BeBi2N", "functional": "PBE", "state": "relaxed", "lattice": [[0.000, 3.328, 3.328], [3.328, 0.000, 3.328], [3.328, 3.328, 0.000]], "species": ["Be", "Bi", "Bi", "N"], "fractional_positions": [[0.000, 0.000, 0.000], [0.250, 0.250, 0.250], [0.750, 0.750, 0.750], [0.500, 0.500, 0.500]], "sg": "Fm-3m, No. 225", "e_form_raw_ev_per_atom": 1.225, "de_polymorph_ev_per_atom": 0.514, "crystal_system": "cubic"}

{"formula": "AcScCu2Te4", "functional": "PBE", "state": "relaxed", "lattice": [[-3.586, 3.949, 4.304], [3.586, -3.949, 4.304], [3.586, 3.949, -4.304]], "species": ["Ac", "Sc", "Cu", "Cu", "Te", "Te", "Te", "Te"], "fractional_positions": [[0.000, 0.000, 0.000], [0.500, 0.500, 0.000], [0.356, 0.856, 0.500], [0.644, 0.144, 0.500], [0.110, 0.079, 0.568], [0.488, 0.921, 0.031], [0.512, 0.543, 0.432], [0.890, 0.457, 0.969]], "sg": "I222, No. 23", "e_form_raw_ev_per_atom": -0.747, "crystal_system": "orthorhombic"}

{"formula": "NaCd3Pt2", "functional": "PBE", "state": "relaxed", "lattice": [[6.751, 0.000, 0.000], [-3.375, 5.846, 0.000], [0.000, 0.000, 3.779]], "species": ["Na", "Cd", "Cd", "Cd", "Pt", "Pt"], "fractional_positions": [[0.000, 0.000, 0.000], [0.000, 0.500, 0.000], [0.500, 0.000, 0.000], [0.500, 0.500, 0.000], [0.333, 0.667, 0.500], [0.667, 0.333, 0.500]], "sg": "P6/mmm, No. 191", "de_polymorph_ev_per_atom": 0.192, "ef_ev_per_atom": -0.11, "crystal_system": "hexagonal"}

{"formula": "KRbGa4", "functional": "PBE", "state": "relaxed", "lattice": [[0.000, 4.269, 4.269], [4.269, 0.000, 4.269], [4.269, 4.269, 0.000]], "species": ["K", "Rb", "Ga", "Ga", "Ga", "Ga"], "fractional_positions": [[0.000, 0.000, 0.000], [0.250, 0.250, 0.250], [0.124, 0.625, 0.625], [0.625, 0.124, 0.625], [0.625, 0.625, 0.124], [0.625, 0.625, 0.625]], "sg": "F-43m, No. 216", "ef_ev_per_atom": 0.02, "crystal_system": "cubic"}

{"formula": "CaLuInRh", "functional": "PBE", "state": "relaxed", "lattice": [[0.000, 3.568, 3.568], [3.568, 0.000, 3.568], [3.568, 3.568, 0.000]], "species": ["Ca", "Lu", "In", "Rh"], "fractional_positions": [[0.000, 0.000, 0.000], [0.500, 0.500, 0.500], [0.750, 0.750, 0.750], [0.250, 0.250, 0.250]], "sg": "F-43m, No. 216", "ef_ev_per_atom": -0.44, "crystal_system": "cubic"}

{"formula": "CeB2C2", "functional": "PBE", "state": "relaxed", "lattice": [[3.597, 0.000, 0.000], [-1.799, 3.115, 0.000], [0.000, 0.000, 6.135]], "species": ["Ce", "B", "B", "C", "C"], "fractional_positions": [[0.000, 0.000, 0.000], [0.333, 0.667, 0.437], [0.667, 0.333, 0.563], [0.333, 0.667, 0.202], [0.667, 0.333, 0.798]], "sg": "P-3m1, No. 164", "ef_ev_per_atom": 0.79, "crystal_system": "trigonal"}

{"formula": "DyHo4Al", "functional": "PBE", "state": "relaxed", "lattice": [[3.511, 0.000, 0.000], [0.000, 3.511, 0.000], [0.000, 0.000, 13.947]], "species": ["Dy", "Ho", "Ho", "Ho", "Ho", "Al"], "fractional_positions": [[0.000, 0.000, 0.000], [0.000, 0.000, 0.363], [0.000, 0.000, 0.637], [0.500, 0.500, 0.180], [0.500, 0.500, 0.820], [0.500, 0.500, 0.500]], "sg": "P4/mmm, No. 123", "de_polymorph_ev_per_atom": 0.000, "ef_ev_per_atom": -0.12, "crystal_system": "tetragonal"}

{"formula": "LiPm8Sn2", "functional": "PBE", "state": "relaxed", "lattice": [[9.729, -2.610, 0.000], [9.729, 2.610, 0.000], [-1.849, 0.000, 6.702]], "species": ["Li", "Pm", "Pm", "Pm", "Pm", "Pm", "Pm", "Pm", "Pm", "Sn", "Sn"], "fractional_positions": [[0.000, 0.000, 0.000], [0.093, 0.093, 0.482], [0.154, 0.154, 0.990], [0.291, 0.291, 0.689], [0.484, 0.484, 0.228], [0.516, 0.516, 0.772], [0.709, 0.709, 0.311], [0.846, 0.846, 0.010], [0.907, 0.907, 0.518], [0.319, 0.319, 0.250], [0.681, 0.681, 0.750]], "sg": "C2/m, No. 12", "ef_ev_per_atom": -0.24, "crystal_system": "monoclinic"}

{"formula": "TmSnBi", "functional": "PBE", "state": "relaxed", "lattice": [[7.399, 0.000, 0.000], [0.000, 7.399, 0.000], [0.000, 0.000, 7.399]], "species": ["Tm", "Tm", "Tm", "Tm", "Sn", "Sn", "Sn", "Sn", "Bi", "Bi", "Bi", "Bi"], "fractional_positions": [[0.019, 0.019, 0.019], [0.481, 0.981, 0.519], [0.519, 0.481, 0.981], [0.981, 0.519, 0.481], [0.052, 0.948, 0.448], [0.448, 0.052, 0.948], [0.552, 0.552, 0.552], [0.948, 0.448, 0.052], [0.185, 0.685, 0.815], [0.315, 0.315, 0.315], [0.685, 0.815, 0.185], [0.815, 0.185, 0.685]], "sg": "P2_13, No. 198", "de_polymorph_ev_per_atom": 0.414, "ef_ev_per_atom": -0.07, "crystal_system": "cubic"}